DFT (PBE) results for crystalline Pm2AlSi4Os3 at its relaxed geometry.

The structure belongs to space group P-4m2 (No. 115); the cell edges are 4.0978, 4.0978 and 10.4606 Å and the angles 90.00°, 90.00° and 90.00°. The asymmetric unit holds Pm at (0.0000, 0.5000, 0.2399), Al at (0.0000, 0.0000, 0.5000), Si at (0.0000, 0.0000, 0.0000), Si at (0.0000, 0.5000, 0.6421), Si at (0.5000, 0.5000, 0.0000), Os at (0.0000, 0.5000, 0.8746) and Os at (0.5000, 0.5000, 0.5000).

As for the density of states at the Fermi level: 7.04 states/eV/f.u. The total DFT energy (no corrections) is -7.4041 eV/atom. For the uncorrected formation energy, the calculation gives -542 meV/atom. Its calculated volume is 17.57 Å³ per atom.

=====

DFT (PBE) results for crystalline HoHfCSe at its relaxed geometry.

The structure belongs to space group R3m (No. 160, hexagonal axes); the cell edges are 3.5431, 3.5431 and 19.5692 Å and the angles 90.00°, 90.00° and 120.00°. The asymmetric unit holds Ho at (0.0000, 0.0000, 0.0000), Hf at (0.0000, 0.0000, 0.2031), C at (0.0000, 0.0000, 0.5910) and Se at (0.0000, 0.0000, 0.7733).

As for the density of states at the Fermi level: 2.03 states/eV/f.u. The total DFT energy (no corrections) is -7.9491 eV/atom. For the uncorrected formation energy, the calculation gives -1139 meV/atom. Its calculated volume is 17.73 Å³ per atom.

=====

DFT (PBE) results for crystalline TlFeI6 at its relaxed geometry.

The structure belongs to space group C2/m (No. 12); the cell edges are 8.3081, 9.8619 and 8.0962 Å and the angles 90.00°, 102.00° and 90.00°. The asymmetric unit holds Tl at (0.0000, 0.0000, 0.0000), Fe at (0.0000, 0.5000, 0.5000), I at (0.1744, 0.3226, 0.7260) and I at (0.2314, 0.0000, 0.6848).

As for the density of states at the Fermi level: 5.23 states/eV/f.u. The total DFT energy (no corrections) is -2.6382 eV/atom. For the uncorrected formation energy, the calculation gives -122 meV/atom. Its calculated volume is 40.55 Å³ per atom.

=====

DFT (PBE) results for crystalline RbNi2Pb2 at its relaxed geometry.

The structure belongs to space group I4/mmm (No. 139); the cell edges are 4.8556, 4.8556 and 10.5051 Å and the angles 90.00°, 90.00° and 90.00°. The asymmetric unit holds Rb at (0.0000, 0.0000, 0.0000), Ni at (0.0000, 0.0000, 0.3838) and Pb at (0.0000, 0.5000, 0.2500).

As for the density of states at the Fermi level: 3.69 states/eV/f.u. The total DFT energy (no corrections) is -3.7184 eV/atom. The calculation puts the formation energy at 131 kJ/mol of formula units. For the polymorph energy (0 for the lowest one), the calculation gives 138.4 meV per atom. Its calculated volume is 24.77 Å³ per atom.

=====

DFT (PBE) results for crystalline TiVGe2Ir at its relaxed geometry.

The structure belongs to space group P4/mmm (No. 123); the cell edges are 4.7457, 4.7457 and 4.1393 Å and the angles 90.00°, 90.00° and 90.00°. The asymmetric unit holds Ti at (0.0000, 0.0000, 0.0000), V at (0.0000, 0.0000, 0.5000), Ge at (0.0000, 0.5000, 0.0000) and Ir at (0.5000, 0.5000, 0.5000).

As for the density of states at the Fermi level: 3.80 states/eV/f.u. The total DFT energy (no corrections) is -5.9522 eV/atom. The calculation puts the formation energy at 516 kJ/mol of formula units. Its calculated volume is 18.64 Å³ per atom.

=====

DFT (PBE) results for crystalline Mn2BSb at its relaxed geometry.

The structure belongs to space group I-42d (No. 122); the cell edges are 4.2241, 4.2241 and 13.4446 Å and the angles 90.00°, 90.00° and 90.00°. The asymmetric unit holds Mn at (0.0739, 0.2500, 0.1250), B at (0.0000, 0.0000, 0.0000) and Sb at (0.0000, 0.0000, 0.5000).

As for the density of states at the Fermi level: 2.29 states/eV/f.u. The total DFT energy (no corrections) is -6.6368 eV/atom. For the uncorrected formation energy, the calculation gives 648 meV/atom. For the polymorph energy (0 for the lowest one), the calculation gives 0.0 meV per atom. Its calculated volume is 14.99 Å³ per atom.

=====

DFT (PBE) results for crystalline Li3Tc at its relaxed geometry.

The structure belongs to space group R-3m (No. 166, hexagonal axes); the cell edges are 9.1198, 9.1198 and 2.4070 Å and the angles 90.00°, 90.00° and 120.00°. The asymmetric unit holds Li at (0.0000, 0.5000, 0.0000) and Tc at (0.0000, 0.0000, 0.0000).

As for the density of states at the Fermi level: 2.84 states/eV/f.u. The total DFT energy (no corrections) is -3.7816 eV/atom. The calculation puts the formation energy at 95 kJ/mol of formula units. For the polymorph energy (0 for the lowest one), the calculation gives 87.2 meV per atom. Its calculated volume is 14.45 Å³ per atom.

=====

DFT (PBE) results for crystalline SmErMgPd at its relaxed geometry.

The structure belongs to space group F-43m (No. 216); the cell edges are 7.3024, 7.3024 and 7.3024 Å and the angles 90.00°, 90.00° and 90.00°. The asymmetric unit holds Sm at (0.0000, 0.0000, 0.0000), Er at (0.0000, 0.0000, 0.5000), Mg at (0.2500, 0.2500, 0.7500) and Pd at (0.2500, 0.2500, 0.2500).

As for the density of states at the Fermi level: 2.83 states/eV/f.u. The total DFT energy (no corrections) is -4.3990 eV/atom. The calculation puts the formation energy at -147 kJ/mol of formula units. Its calculated volume is 24.34 Å³ per atom.

=====

The lowest calculated volume belongs to which entry?
Li3Tc

=====

Please write out number 2 again, unchanged.
DFT (PBE) results for crystalline HoHfCSe at its relaxed geometry.

The structure belongs to space group R3m (No. 160, hexagonal axes); the cell edges are 3.5431, 3.5431 and 19.5692 Å and the angles 90.00°, 90.00° and 120.00°. The asymmetric unit holds Ho at (0.0000, 0.0000, 0.0000), Hf at (0.0000, 0.0000, 0.2031), C at (0.0000, 0.0000, 0.5910) and Se at (0.0000, 0.0000, 0.7733).

As for the density of states at the Fermi level: 2.03 states/eV/f.u. The total DFT energy (no corrections) is -7.9491 eV/atom. For the uncorrected formation energy, the calculation gives -1139 meV/atom. Its calculated volume is 17.73 Å³ per atom.

=====

Look up the total DFT energy (no corrections) of the sixth one.
-6.6368 eV/atom

=====

Repeat the third record exactly.
DFT (PBE) results for crystalline TlFeI6 at its relaxed geometry.

The structure belongs to space group C2/m (No. 12); the cell edges are 8.3081, 9.8619 and 8.0962 Å and the angles 90.00°, 102.00° and 90.00°. The asymmetric unit holds Tl at (0.0000, 0.0000, 0.0000), Fe at (0.0000, 0.5000, 0.5000), I at (0.1744, 0.3226, 0.7260) and I at (0.2314, 0.0000, 0.6848).

As for the density of states at the Fermi level: 5.23 states/eV/f.u. The total DFT energy (no corrections) is -2.6382 eV/atom. For the uncorrected formation energy, the calculation gives -122 meV/atom. Its calculated volume is 40.55 Å³ per atom.